## NiSeN2 (PBE-GGA)

Data for NiSeN2 after structural relaxation.

Total energy ... -5.694 eV/atom

a = 6.094 Å, b = 6.094 Å, c = 6.094 Å
α = 28.20°, β = 28.20°, γ = 28.20°
Fractional positions:
N1 0.886 0.886 0.886
Se1 0.000 0.000 0.000
N2 0.114 0.114 0.114
Ni1 0.500 0.500 0.500

---

## RbYAl2F (PBE-GGA)

Data for RbYAl2F after structural relaxation.

Total energy ... -3.714 eV/atom

a = 4.870 Å, b = 5.027 Å, c = 4.870 Å
α = 90.00°, β = 90.00°, γ = 90.00°
Fractional positions:
Y1 0.500 0.500 0.500
F1 0.000 0.000 0.000
Al1 0.000 0.000 0.500
Al2 0.500 0.000 0.000
Rb1 0.000 0.500 0.000